This record from the Alexandria database describes crystalline InAsW4 at its relaxed geometry. The functional is PBE.

Summary:
DOS at the Fermi energy = 5.320 states/eV per cell
Total moment = 0.0 μB per cell
Space-group type = F-43m

Cell and atoms, written as extended XYZ:
```
6
Lattice="0.000 3.807 3.807 3.807 0.000 3.807 3.807 3.807 0.000" Properties=species:S:1:pos:R:3 pbc="T T T"
In 0.000 0.000 0.000
As 5.710 5.710 5.710
W 2.850 4.764 4.764
W 4.764 4.764 2.850
W 4.764 2.850 4.764
W 2.850 2.850 2.850
```


This record from the Alexandria database describes crystalline La2Pm3Pr4 at its relaxed geometry. The functional is PBE.

Summary:
DOS at the Fermi energy = 17.052 states/eV per cell
Total moment = 0.0 μB per cell
Space-group type = P3m1
Offset from the most stable computed form = 0.00 kcal/mol of atoms

Cell and atoms, written as extended XYZ:
```
9
Lattice="-3.556 0.638 -0.753 0.938 -1.836 3.061 1.339 23.904 13.928" Properties=species:S:1:pos:R:3 pbc="T T T"
La -1.937 1.970 1.775
La -0.890 20.667 12.669
Pm 1.317 23.511 13.699
Pm 0.432 7.715 4.495
Pm -1.184 15.413 9.608
Pr 0.728 12.996 7.572
Pr -1.477 10.179 6.558
Pr -1.767 5.015 3.549
Pr 1.018 18.181 10.593
```


This record from the Alexandria database describes crystalline YHo4Mg5 at its relaxed geometry. The functional is PBE.

Summary:
DOS at the Fermi energy = 14.515 states/eV per cell
Total moment = 0.0 μB per cell
Space-group type = P4/mmm

Cell and atoms, written as extended XYZ:
```
10
Lattice="-1.288 0.874 3.451 3.392 -0.812 1.472 5.379 17.895 -2.524" Properties=species:S:1:pos:R:3 pbc="T T T"
Y 0.000 0.000 0.000
Ho 1.082 3.599 -0.508
Ho 2.153 7.162 -1.010
Ho 3.226 10.732 -1.514
Ho 4.297 14.295 -2.016
Mg 1.597 1.843 2.206
Mg 2.669 5.410 1.703
Mg 3.741 8.978 1.200
Mg 4.814 12.547 0.697
Mg 5.886 16.113 0.194
```


no.,formation enthalpy at 0 K (eV per atom),raw total energy (eV per atom)
1,0.730,-9.14
2,0.058,-4.74
3,-0.080,-3.35